La8As3Se4Cl: relaxed, PBE.

The structure in POSCAR format:
```
La8As3Se4Cl
1.0
8.6595 0.0000 0.0000
0.0000 8.6546 -0.0096
-4.3297 -4.3253 6.1265
La As Se Cl
8 3 4 1
Direct
0.2547 0.7484 0.9938
0.2547 0.7484 0.5093
0.2526 0.2578 0.5052
0.7391 0.7484 0.9938
0.2609 0.2516 0.0062
0.7474 0.7422 0.4948
0.7453 0.2516 0.4907
0.7453 0.2516 0.0062
0.5000 0.5000 0.0000
0.5000 0.5000 0.5000
0.0000 0.5000 0.5000
0.5000 0.0000 0.0000
0.5000 0.0000 0.5000
0.0000 0.0000 0.0000
0.0000 0.0000 0.5000
0.0000 0.5000 0.0000
```

Summary:
Formation energy (no corrections) = -1.8317 eV/atom